Record 1
A plane-wave DFT calculation with PBE was carried out for a relaxed structure of TbNi9Sn2.

POSCAR file:
```
TbNi9Sn2
1.0
8.215 0.000 0.000
0.000 8.215 0.000
0.000 0.000 4.880
Tb Ni Sn
2 18 4
Direct
0.000 0.000 0.000 Tb
0.500 0.500 0.000 Tb
0.000 0.500 0.500 Ni
0.066 0.205 0.500 Ni
0.174 0.674 0.246 Ni
0.174 0.674 0.754 Ni
0.205 0.934 0.500 Ni
0.295 0.434 0.500 Ni
0.326 0.174 0.246 Ni
0.326 0.174 0.754 Ni
0.434 0.705 0.500 Ni
0.500 0.000 0.500 Ni
0.566 0.295 0.500 Ni
0.674 0.826 0.246 Ni
0.674 0.826 0.754 Ni
0.705 0.566 0.500 Ni
0.795 0.066 0.500 Ni
0.826 0.326 0.246 Ni
0.826 0.326 0.754 Ni
0.934 0.795 0.500 Ni
0.128 0.372 0.000 Sn
0.372 0.872 0.000 Sn
0.628 0.128 0.000 Sn
0.872 0.628 0.000 Sn
```

E above lowest polymorph ... 0 meV per atom
Energy of formation from the pure elements ... -0.247 eV/atom
Crystal system ... tetragonal
Fermi-level density of states ... 1.43 states/eV/atom

***

Record 2
A plane-wave DFT calculation with PBE was carried out for a relaxed structure of Tb4NiSn8.

POSCAR file:
```
Tb4NiSn8
1.0
4.409 0.000 0.000
0.000 4.442 0.000
0.000 0.000 16.840
Tb Ni Sn
4 1 8
Direct
0.000 0.000 0.000 Tb
0.000 0.500 0.492 Tb
0.500 0.000 0.792 Tb
0.500 0.500 0.295 Tb
0.000 0.500 0.706 Ni
0.000 0.000 0.328 Sn
0.000 0.000 0.633 Sn
0.000 0.500 0.146 Sn
0.000 0.500 0.853 Sn
0.500 0.000 0.150 Sn
0.500 0.000 0.451 Sn
0.500 0.500 0.632 Sn
0.500 0.500 0.970 Sn
```

Energy of formation from the pure elements ... -0.584 eV/atom
Crystal system ... orthorhombic
Fermi-level density of states ... 0.44 states/eV/atom

***

Record 3
A plane-wave DFT calculation with PBE was carried out for a relaxed structure of Tb8Ni2Sn.

POSCAR file:
```
Tb8Ni2Sn
1.0
4.313 -6.671 0.000
4.313 6.671 0.000
-1.314 0.000 5.189
Tb Ni Sn
8 2 1
Direct
0.076 0.331 0.574 Tb
0.248 0.752 0.000 Tb
0.331 0.076 0.574 Tb
0.393 0.393 0.197 Tb
0.607 0.607 0.803 Tb
0.669 0.924 0.426 Tb
0.752 0.248 0.000 Tb
0.924 0.669 0.426 Tb
0.303 0.697 0.500 Ni
0.697 0.303 0.500 Ni
0.000 0.000 0.000 Sn
```

Energy of formation from the pure elements ... -0.222 eV/atom
Crystal system ... monoclinic
Fermi-level density of states ... 1.23 states/eV/atom